1.
# RbScBi2

A geometry-optimized RbScBi2 structure (PBE-GGA, the Alexandria database).

Unit cell a=7.978 b=7.978 c=7.978 alpha=90.00 beta=90.00 gamma=90.00
Space group Fm-3m (No. 225)
Unique sites:
Rb1 0.000 0.000 0.000 [4 per cell]
Sc1 0.000 0.000 0.500 [4 per cell]
Bi1 0.250 0.250 0.250 [8 per cell]

Values from the calculation:
As for the energy above the most stable polymorph in this dataset: 318 meV/atom. The density of states at the Fermi level comes out at 1.75 states/eV per atom.



2.
# RbSc3Bi

A geometry-optimized RbSc3Bi structure (PBE-GGA, the Alexandria database).

Unit cell a=5.740 b=5.740 c=5.740 alpha=90.00 beta=90.00 gamma=90.00
Space group Pm-3m (No. 221)
Unique sites:
Rb1 0.000 0.000 0.000 [1 per cell]
Sc1 0.000 0.500 0.500 [3 per cell]
Bi1 0.500 0.500 0.500 [1 per cell]

Values from the calculation:
As for the energy above the most stable polymorph in this dataset: 0 meV/atom. The density of states at the Fermi level comes out at 1.26 states/eV per atom.



3.
# RbSc3Bi

A geometry-optimized RbSc3Bi structure (PBE-GGA, the Alexandria database).

Unit cell a=5.169 b=5.169 c=5.169 alpha=90.00 beta=90.00 gamma=90.00
Space group Pm-3m (No. 221)
Unique sites:
Rb1 0.000 0.000 0.000 [1 per cell]
Sc1 0.000 0.000 0.500 [3 per cell]
Bi1 0.500 0.500 0.500 [1 per cell]

Values from the calculation:
As for the energy above the most stable polymorph in this dataset: 797 meV/atom. The density of states at the Fermi level comes out at 0.91 states/eV per atom.



4.
# RbScBi2

A geometry-optimized RbScBi2 structure (PBE-GGA, the Alexandria database).

Unit cell a=4.6346 b=4.6346 c=24.9485 alpha=90.00 beta=90.00 gamma=120.00
Space group R3m (No. 160, hexagonal axes)
Unique sites:
Rb1 0.0000 0.0000 0.0000 [3 per cell]
Sc1 0.0000 0.0000 0.1709 [3 per cell]
Bi1 0.0000 0.0000 0.5593 [3 per cell]
Bi2 0.0000 0.0000 0.7807 [3 per cell]

Values from the calculation:
As for the energy above the most stable polymorph in this dataset: 112 meV/atom. The density of states at the Fermi level comes out at 0.82 states/eV per atom.



5.
# RbScBi2

A geometry-optimized RbScBi2 structure (PBE-GGA, the Alexandria database).

Unit cell a=6.514 b=6.514 c=18.359 alpha=90.00 beta=90.00 gamma=90.00
Space group I-42d (No. 122)
Unique sites:
Rb1 0.000 0.000 0.000 [4 per cell]
Sc1 0.000 0.000 0.500 [4 per cell]
Bi1 0.071 0.250 0.625 [8 per cell]

Values from the calculation:
As for the energy above the most stable polymorph in this dataset: 165 meV/atom. The density of states at the Fermi level comes out at 0.06 states/eV per atom.



6.
# RbScBi2

A geometry-optimized RbScBi2 structure (PBE-GGA, the Alexandria database).

Unit cell a=3.615 b=3.615 c=9.768 alpha=90.00 beta=90.00 gamma=90.00
Space group P4/mmm (No. 123)
Unique sites:
Rb1 0.000 0.000 0.000 [1 per cell]
Sc1 0.000 0.000 0.500 [1 per cell]
Bi1 0.500 0.500 0.296 [2 per cell]

Values from the calculation:
As for the energy above the most stable polymorph in this dataset: 0 meV/atom. The density of states at the Fermi level comes out at 0.94 states/eV per atom.



7.
# RbScBi

A geometry-optimized RbScBi structure (PBE-GGA, the Alexandria database).

Unit cell a=4.8485 b=4.8485 c=40.7499 alpha=90.00 beta=90.00 gamma=120.00
Space group R-3m (No. 166, hexagonal axes)
Unique sites:
Rb1 0.0000 0.0000 0.1124 [6 per cell]
Sc1 0.0000 0.0000 0.3079 [6 per cell]
Bi1 0.0000 0.0000 0.3831 [6 per cell]

Values from the calculation:
The density of states at the Fermi level comes out at 0.76 states/eV per atom.



8.
# RbScBi2

A geometry-optimized RbScBi2 structure (PBE-GGA, the Alexandria database).

Unit cell a=4.6974 b=4.6974 c=24.0949 alpha=90.00 beta=90.00 gamma=120.00
Space group R-3m (No. 166, hexagonal axes)
Unique sites:
Rb1 0.0000 0.0000 0.0000 [3 per cell]
Sc1 0.0000 0.0000 0.5000 [3 per cell]
Bi1 0.0000 0.0000 0.2221 [6 per cell]

Values from the calculation:
As for the energy above the most stable polymorph in this dataset: 99 meV/atom. The density of states at the Fermi level comes out at 0.88 states/eV per atom.



| no. | total magnetic moment (μB per formula unit) | V (Å³/cell) | energy of formation (kJ/mol of atoms) |
| --- | --- | --- | --- |
| 1 | 0.0 | 507.9 | -9.2 |
| 2 | 4.4 | 189.1 | 48.2 |
| 3 | 0.0 | 138.1 | 125.1 |
| 4 | 0.0 | 464.1 | -29.0 |
| 5 | 0.0 | 779.1 | -24.0 |
| 6 | 0.0 | 127.6 | -39.9 |
| 7 | 0.0 | 829.6 | -34.8 |
| 8 | 0.0 | 460.4 | -30.3 |